Entry from Alexandria: an optimized crystal structure of Ta2BeBr (PBE-GGA).

As for the energy relative to the lowest polymorph listed for this composition: 0.340 eV/atom. As for the electronic total energy: -53.81 eV for the cell shown. The calculation puts the density at 11.51 Mg/m³. As for the uncorrected formation energy: 0.549 eV/atom.

abc: 9.4075 2.9733 4.7986
angles: 90.00 104.29 90.00
Last column: nearest neighbours and their distance in Å.
Space group Cm (No. 8)
Asymmetric unit:
Ta 0.0000 0.0000 0.0000  2 Be 2.66, 3 Br 2.71-2.74, 2 Ta 2.97
Ta 0.2279 0.0000 0.6442  3 Be 2.57-2.71, 2 Br 2.70
Be 0.4977 0.0000 0.5398  5 Ta 2.57-2.71
Br 0.2465 0.5000 0.1855  7 Ta 2.70-2.96, 2 Be 2.95, 2 Br 2.97